Entry 1:
VASP calculation (GGA-PBE) on a geometry-optimized Tl2ZnBr structure.

Properties
- total energy (eV for the cell shown) = -8.4
- N(E_F) (states/eV per atom) = 0.47
- ΔE_f (raw) (eV/atom) = -0.186
- ΔE to the lowest computed polymorph (meV per atom) = 19

Lattice parameters (Å, degrees): 5.5029 5.5029 3.8789 90.00 90.00 90.00
With the nearest neighbours (Å) after each atom.
Space group P4/mmm (No. 123)
Symmetry-distinct sites (fractional):
1 Tl 0.0000 0.5000 0.0000 [2 per cell]  4 Br 3.37, 4 Zn 3.37
2 Zn 0.0000 0.0000 0.5000 [1 per cell]  8 Tl 3.37
3 Br 0.5000 0.5000 0.5000 [1 per cell]  8 Tl 3.37

=====

Entry 2:
VASP calculation (GGA-PBE) on a geometry-optimized Tl2ZnBr4 structure.

Properties
- total energy (eV for the cell shown) = -37.8
- N(E_F) (states/eV per atom) = 0.00
- ΔE_f (raw) (eV/atom) = -0.887
- ΔE to the lowest computed polymorph (meV per atom) = 0

Lattice parameters (Å, degrees): 7.4485 7.5688 9.2851 90.00 108.65 90.00
With the nearest neighbours (Å) after each atom.
Space group P2_1/m (No. 11)
Symmetry-distinct sites (fractional):
1 Tl 0.2214 0.2500 0.0501 [2 per cell]  6 Br 3.29-3.56
2 Tl 0.2655 0.2500 0.5698 [2 per cell]  6 Br 3.40-3.53
3 Zn 0.2187 0.7500 0.7939 [2 per cell]  4 Br 2.43-2.45
4 Br 0.0012 0.0018 0.7313 [4 per cell]  1 Zn 2.45
5 Br 0.3957 0.7500 0.0636 [2 per cell]  1 Zn 2.43
6 Br 0.4192 0.7500 0.6328 [2 per cell]  1 Zn 2.43